## ZrTiIn2 (PBE)

Data for a geometry-optimized ZrTiIn2 structure.

Computed properties:
* calculated formation energy: -0.2247 eV per atom
* Fermi-level density of states: 3.73 states/eV/cell
* E_tot: -0.419 Ry per atom
* distance to the lowest polymorph of the same formula: 9 meV per atom
* space group: No. 123

Cell: 3.079 3.079 8.727 Å, 90.00 90.00 90.00°
Positions (direct):
Zr 0.500 0.500 0.500
In 0.000 0.000 0.238
In 0.000 0.000 0.762
Ti 0.500 0.500 0.000



## ZrTiIn2 (PBE)

Data for a geometry-optimized ZrTiIn2 structure.

Computed properties:
* calculated formation energy: 0.2698 eV per atom
* Fermi-level density of states: 5.15 states/eV/cell
* E_tot: -0.383 Ry per atom
* distance to the lowest polymorph of the same formula: 503 meV per atom
* space group: No. 160

Cell: 4.299 4.299 6.638 Å, 71.11 71.11 60.00°
Positions (direct):
In 0.088 0.088 0.737
In 0.247 0.247 0.258
Zr 0.672 0.672 0.984
Ti 0.493 0.493 0.521